Computed, not measured: an optimized crystal structure of V2GaHO at the GGA+U level of DFT.

POSCAR file:
```
V2GaHO
1.0
-1.102 -4.595 2.008
3.555 -1.122 -0.617
1.346 1.709 4.651
Ga O H V
1 1 1 2
Direct
0.000 0.000 0.000
0.000 0.500 0.000
0.500 0.500 0.500
0.000 0.000 0.500
0.500 0.000 0.000
```

**E**: -4.1445 eV/atom